! AcVGeO6 PBE+U optimized geometry; values from VASP
&SYSTEM
  ibrav = 0, nat = 9, ntyp = 4
/
ATOMIC_SPECIES
O 16.00 O.upf
V 50.94 V.upf
Ac 227.00 Ac.upf
Ge 72.64 Ge.upf
ATOMIC_POSITIONS crystal
O 0.387 0.611 0.299
O 0.002 0.387 0.298
O 0.387 0.002 0.701
O 0.002 0.611 0.701
O 0.611 0.387 0.701
O 0.611 0.002 0.298
V 0.333 0.333 0.500
Ac 0.000 0.000 0.000
Ge 0.667 0.667 0.500
CELL_PARAMETERS angstrom
5.093 0.000 0.000
2.546 4.411 0.000
0.000 0.000 5.359
! Magnetic moment, μB per formula unit: 0.0
! E, eV per atom: -7.407